A plane-wave DFT calculation with GGA+U was carried out for an optimized crystal structure of Na2TaCrO6.

Geometry as POSCAR:
```
Na2TaCrO6
1.0
-2.739 2.752 3.871
2.739 -2.752 3.871
2.739 2.752 -3.871
Na Ta Cr O
2 1 1 6
Direct
0.250 0.250 0.000
0.750 0.750 0.000
0.500 0.000 0.500
0.000 0.500 0.500
0.244 0.744 0.500
0.245 0.254 0.500
0.245 0.746 0.991
0.755 0.254 0.009
0.755 0.746 0.500
0.756 0.256 0.500
```

Computed properties:
Mass density = 5.3 Mg/m³
Fermi-level density of states = 0.470 states/eV/atom
VASP energy = -7.15 eV/atom